[1]
The following is a DFT calculation (PBE) of crystalline CsTl10Hg3 at its relaxed geometry.

a b c (Å): 11.1631 11.1631 11.1631
angles (deg): 60.00 60.00 60.00
Fractional positions:
1 Cs 0.2500 0.2500 0.2500
2 Cs 0.7500 0.7500 0.7500
3 Tl 0.0000 0.0000 0.3538
4 Tl 0.0000 0.0000 0.6462
5 Tl 0.0000 0.3538 0.0000
6 Tl 0.0000 0.3538 0.6462
7 Tl 0.0000 0.6462 0.0000
8 Tl 0.0000 0.6462 0.3538
9 Tl 0.1648 0.6117 0.6117
10 Tl 0.3538 0.0000 0.0000
11 Tl 0.3538 0.0000 0.6462
12 Tl 0.3538 0.6462 0.0000
13 Tl 0.3883 0.3883 0.3883
14 Tl 0.3883 0.3883 0.8352
15 Tl 0.3883 0.8352 0.3883
16 Tl 0.6117 0.1648 0.6117
17 Tl 0.6117 0.6117 0.1648
18 Tl 0.6117 0.6117 0.6117
19 Tl 0.6462 0.0000 0.0000
20 Tl 0.6462 0.0000 0.3538
21 Tl 0.6462 0.3538 0.0000
22 Tl 0.8352 0.3883 0.3883
23 Hg 0.2559 0.2559 0.7441
24 Hg 0.2559 0.7441 0.2559
25 Hg 0.2559 0.7441 0.7441
26 Hg 0.7441 0.2559 0.2559
27 Hg 0.7441 0.2559 0.7441
28 Hg 0.7441 0.7441 0.2559

Output
Energy in hartree per atom: -0.0644
Symmetry: Fm-3m (225)
Mass density in g cm⁻³: 9.38

[2]
The following is a DFT calculation (PBE) of crystalline PtAu2 at its relaxed geometry.

a b c (Å): 6.3628 6.3628 6.3628
angles (deg): 90.00 90.00 90.00
Fractional positions:
1 Pt 0.0000 0.0000 0.0000
2 Pt 0.0000 0.5000 0.5000
3 Pt 0.5000 0.0000 0.5000
4 Pt 0.5000 0.5000 0.0000
5 Au 0.1280 0.6280 0.8720
6 Au 0.1280 0.8720 0.3720
7 Au 0.3720 0.1280 0.8720
8 Au 0.3720 0.3720 0.3720
9 Au 0.6280 0.6280 0.6280
10 Au 0.6280 0.8720 0.1280
11 Au 0.8720 0.1280 0.6280
12 Au 0.8720 0.3720 0.1280

Output
Energy in hartree per atom: -0.1343
Symmetry: Pa-3 (205)
Mass density in g cm⁻³: 15.19

[3]
The following is a DFT calculation (PBE) of crystalline CaZr2Mo2 at its relaxed geometry.

a b c (Å): 8.0797 8.0797 3.3428
angles (deg): 90.00 90.00 90.00
Fractional positions:
1 Ca 0.0000 0.0000 0.0000
2 Ca 0.5000 0.5000 0.0000
3 Zr 0.1456 0.3544 0.5000
4 Zr 0.3544 0.8544 0.5000
5 Zr 0.6456 0.1456 0.5000
6 Zr 0.8544 0.6456 0.5000
7 Mo 0.1367 0.6367 0.0000
8 Mo 0.3633 0.1367 0.0000
9 Mo 0.6367 0.8633 0.0000
10 Mo 0.8633 0.3633 0.0000

Output
Energy in hartree per atom: -0.2864
Symmetry: P4/mbm (127)
Mass density in g cm⁻³: 6.31

[4]
The following is a DFT calculation (PBE) of crystalline TaSiP at its relaxed geometry.

a b c (Å): 6.0396 6.0396 6.0396
angles (deg): 90.00 90.00 90.00
Fractional positions:
1 Ta 0.0000 0.0000 0.0000
2 Ta 0.0000 0.5000 0.5000
3 Ta 0.5000 0.0000 0.5000
4 Ta 0.5000 0.5000 0.0000
5 Si 0.2500 0.2500 0.7500
6 Si 0.2500 0.7500 0.2500
7 Si 0.7500 0.2500 0.2500
8 Si 0.7500 0.7500 0.7500
9 P 0.2500 0.2500 0.2500
10 P 0.2500 0.7500 0.7500
11 P 0.7500 0.2500 0.7500
12 P 0.7500 0.7500 0.2500

Output
Energy in hartree per atom: -0.2668
E_form (uncorrected) in eV/atom: 0.301
Symmetry: F-43m (216)
Mass density in g cm⁻³: 7.24

[5]
The following is a DFT calculation (PBE) of crystalline Cd2Br at its relaxed geometry.

a b c (Å): 6.0781 6.0781 6.0781
angles (deg): 60.00 60.00 60.00
Fractional positions:
1 Cd 0.0000 0.0000 0.0000
2 Cd 0.0000 0.0000 0.5000
3 Cd 0.0000 0.5000 0.0000
4 Cd 0.5000 0.0000 0.0000
5 Br 0.3750 0.3750 0.3750
6 Br 0.6250 0.6250 0.6250

Output
Energy in hartree per atom: -0.0458
E_form (uncorrected) in eV/atom: -0.078
Symmetry: Fd-3m (227)
Mass density in g cm⁻³: 6.37

[6]
The following is a DFT calculation (PBE) of crystalline Tb2NdSmBi4 at its relaxed geometry.

a b c (Å): 7.8584 4.5417 7.8619
angles (deg): 90.00 109.48 90.00
Fractional positions:
1 Tb 0.0000 0.0000 0.0000
2 Tb 0.0000 0.5000 0.5000
3 Nd 0.5000 0.0000 0.5000
4 Sm 0.5000 0.5000 0.0000
5 Bi 0.2435 0.5000 0.2463
6 Bi 0.2444 0.0000 0.7496
7 Bi 0.7556 0.0000 0.2504
8 Bi 0.7565 0.5000 0.7537

Output
Energy in hartree per atom: -0.1908
Symmetry: P2/m (10)
Mass density in g cm⁻³: 9.09